(1)
# Cs2RbSe2 | Alexandria | PBE | relaxed
data_Cs2RbSe2
_space_group_name_H-M_alt 'P 4/m b m'
_space_group_IT_number 127
_space_group_name_Hall '-P 4 2ab'
_cell_length_a 10.269
_cell_length_b 10.269
_cell_length_c 3.938
_cell_angle_alpha 90.00
_cell_angle_beta 90.00
_cell_angle_gamma 90.00
loop_
_atom_site_label
_atom_site_type_symbol
_atom_site_fract_x
_atom_site_fract_y
_atom_site_fract_z
_atom_site_occupancy
Cs1 Cs 0.125 0.375 0.000 1
Rb1 Rb 0.000 0.000 0.000 1
Se1 Se 0.175 0.675 0.500 1
# * Fermi-level density of states: 0.305 states/eV per atom
# * uncorrected energy: -2.73 eV/atom


(2)
# MgPPt | Alexandria | PBE | relaxed
data_MgPPt
_space_group_name_H-M_alt 'P 1 21/m 1'
_space_group_IT_number 11
_space_group_name_Hall '-P 2yb'
_cell_length_a 6.501
_cell_length_b 3.972
_cell_length_c 11.269
_cell_angle_alpha 90.00
_cell_angle_beta 90.97
_cell_angle_gamma 90.00
loop_
_atom_site_label
_atom_site_type_symbol
_atom_site_fract_x
_atom_site_fract_y
_atom_site_fract_z
_atom_site_occupancy
Mg1 Mg 0.002 0.250 0.219 1
Mg2 Mg 0.341 0.250 0.427 1
Mg3 Mg 0.488 0.250 0.124 1
P1 P 0.201 0.250 0.922 1
P2 P 0.269 0.750 0.591 1
P3 P 0.303 0.750 0.250 1
Pt1 Pt 0.064 0.750 0.413 1
Pt2 Pt 0.187 0.750 0.046 1
Pt3 Pt 0.311 0.250 0.722 1
# * Fermi-level density of states: 0.413 states/eV per atom
# * formation energy: -0.620 eV per atom


(3)
# CeThScTl | Alexandria | PBE | relaxed
data_CeThScTl
_space_group_name_H-M_alt 'F -4 3 m'
_space_group_IT_number 216
_space_group_name_Hall 'F -4 2 3'
_cell_length_a 7.572
_cell_length_b 7.572
_cell_length_c 7.572
_cell_angle_alpha 90.00
_cell_angle_beta 90.00
_cell_angle_gamma 90.00
loop_
_atom_site_label
_atom_site_type_symbol
_atom_site_fract_x
_atom_site_fract_y
_atom_site_fract_z
_atom_site_occupancy
Ce1 Ce 0.000 0.000 0.000 1
Th1 Th 0.250 0.250 0.250 1
Sc1 Sc 0.250 0.250 0.750 1
Tl1 Tl 0.000 0.000 0.500 1
# * Fermi-level density of states: 2.071 states/eV per atom
# * formation energy: 0.084 eV per atom


(4)
# Li2ZnCo | Alexandria | PBE | relaxed
data_Li2ZnCo
_space_group_name_H-M_alt 'I -4 2 d'
_space_group_IT_number 122
_space_group_name_Hall 'I -4 2bw'
_cell_length_a 6.760
_cell_length_b 6.760
_cell_length_c 4.907
_cell_angle_alpha 90.00
_cell_angle_beta 90.00
_cell_angle_gamma 90.00
loop_
_atom_site_label
_atom_site_type_symbol
_atom_site_fract_x
_atom_site_fract_y
_atom_site_fract_z
_atom_site_occupancy
Li1 Li 0.245 0.750 0.125 1
Zn1 Zn 0.000 0.000 0.500 1
Co1 Co 0.000 0.000 0.000 1
# * Fermi-level density of states: 0.655 states/eV per atom
# * formation energy: 0.306 eV per atom


(5)
# PmBi3S6 | Alexandria | PBE | relaxed
data_PmBi3S6
_space_group_name_H-M_alt 'P 1 21/m 1'
_space_group_IT_number 11
_space_group_name_Hall '-P 2yb'
_cell_length_a 11.688
_cell_length_b 4.022
_cell_length_c 11.693
_cell_angle_alpha 90.00
_cell_angle_beta 106.37
_cell_angle_gamma 90.00
loop_
_atom_site_label
_atom_site_type_symbol
_atom_site_fract_x
_atom_site_fract_y
_atom_site_fract_z
_atom_site_occupancy
Pm1 Pm 0.188 0.250 0.040 1
Bi1 Bi 0.019 0.750 0.303 1
Bi2 Bi 0.334 0.250 0.431 1
Bi3 Bi 0.407 0.750 0.846 1
S1 S 0.037 0.750 0.895 1
S2 S 0.115 0.250 0.464 1
S3 S 0.220 0.750 0.235 1
S4 S 0.250 0.250 0.809 1
S5 S 0.387 0.750 0.068 1
S6 S 0.412 0.750 0.588 1
# * uncorrected energy: -4.90 eV/atom


(6)
# K4CaCl6 | Alexandria | PBE | relaxed
data_K4CaCl6
_space_group_name_H-M_alt 'R -3 c'
_space_group_IT_number 167
_space_group_name_Hall '-R 3 2"c'
_cell_length_a 12.4444
_cell_length_b 12.4444
_cell_length_c 15.2571
_cell_angle_alpha 90.00
_cell_angle_beta 90.00
_cell_angle_gamma 120.00
loop_
_atom_site_label
_atom_site_type_symbol
_atom_site_fract_x
_atom_site_fract_y
_atom_site_fract_z
_atom_site_occupancy
K1 K 0.0000 0.0000 0.2500 1
K2 K 0.0000 0.3702 0.2500 1
Ca1 Ca 0.0000 0.0000 0.0000 1
Cl1 Cl 0.0310 0.1923 0.3957 1
# * Fermi-level density of states: 0.000 states/eV per atom
# * uncorrected energy: -3.67 eV/atom